1.
{"formula": "ZrAlCd2", "functional": "PBE", "state": "optimized geometry", "de_polymorph_mev_per_atom": 377.1, "ef_ev_per_atom": 0.143, "crystal_system": "cubic", "space_group": "Fm-3m", "lattice": [[-2.885, 1.463, 3.654], [-3.772, 2.960, -0.905], [-4.564, -1.693, 0.332]], "species": ["Cd", "Cd", "Al", "Zr"], "fractional_positions": [[0.750, 0.750, 0.750], [0.250, 0.250, 0.250], [0.000, 0.000, 0.000], [0.500, 0.500, 0.500]]}

2.
{"formula": "ZrAlCd2", "functional": "PBE", "state": "optimized geometry", "de_polymorph_mev_per_atom": 400.3, "ef_ev_per_atom": 0.166, "crystal_system": "tetragonal", "space_group": "I-42d", "lattice": [[-2.847, -0.393, 7.265], [6.838, -2.810, 2.528], [2.922, 1.111, 5.406]], "species": ["Al", "Al", "Zr", "Zr", "Cd", "Cd", "Cd", "Cd"], "fractional_positions": [[0.500, 0.500, 0.000], [0.250, 0.750, 0.500], [0.000, 0.000, 0.000], [0.750, 0.250, 0.500], [0.595, 0.125, 0.250], [0.155, 0.625, 0.250], [0.875, 0.845, 0.750], [0.375, 0.405, 0.750]]}

3.
{"formula": "ZrAlCd2", "functional": "PBE", "state": "optimized geometry", "de_polymorph_mev_per_atom": 183.2, "ef_ev_per_atom": -0.051, "crystal_system": "orthorhombic", "space_group": "Pmm2", "lattice": [[3.082, 0.000, 0.000], [0.000, 4.250, 0.000], [0.000, 0.000, 6.364]], "species": ["Al", "Cd", "Cd", "Zr"], "fractional_positions": [[0.500, 0.500, 0.734], [0.500, 0.500, 0.248], [0.000, 0.000, 0.000], [0.000, 0.000, 0.517]]}

4.
{"formula": "ZrAl2Cd", "functional": "PBE", "state": "optimized geometry", "ef_ev_per_atom": -0.191, "crystal_system": "orthorhombic", "space_group": "Cmmm", "lattice": [[-3.687, 2.260, 2.982], [-0.796, -5.189, -0.178], [1.741, -0.350, 2.418]], "species": ["Al", "Al", "Zr", "Cd"], "fractional_positions": [[0.500, 0.500, 0.000], [0.000, 0.000, 0.000], [0.000, 0.500, 0.500], [0.500, 0.000, 0.500]]}

5.
{"formula": "ZrAl2Cd", "functional": "PBE", "state": "optimized geometry", "ef_ev_per_atom": -0.045, "crystal_system": "trigonal", "space_group": "R3m", "lattice": [[9.876, 0.020, 0.012], [9.393, 3.050, 0.012], [9.393, 1.497, 2.658]], "species": ["Zr", "Al", "Al", "Cd"], "fractional_positions": [[0.746, 0.746, 0.746], [0.253, 0.253, 0.253], [0.997, 0.997, 0.997], [0.504, 0.504, 0.504]]}

6.
{"formula": "ZrAlCd2", "functional": "PBE", "state": "optimized geometry", "de_polymorph_mev_per_atom": 155.0, "ef_ev_per_atom": -0.079, "crystal_system": "monoclinic", "space_group": "C2/m", "lattice": [[-5.189, -0.213, -2.983], [0.642, -2.892, 5.205], [-1.689, 1.585, 1.721]], "species": ["Cd", "Cd", "Zr", "Al"], "fractional_positions": [[0.500, 0.500, 0.000], [0.000, 0.000, 0.000], [0.500, 0.000, 0.500], [0.000, 0.500, 0.500]]}

7.
{"formula": "ZrAl2Cd", "functional": "PBE", "state": "optimized geometry", "ef_ev_per_atom": -0.204, "crystal_system": "orthorhombic", "space_group": "Pmmm", "lattice": [[-3.194, 1.200, -2.816], [-0.983, -2.929, -0.133], [-3.553, 0.992, 4.453]], "species": ["Cd", "Al", "Al", "Zr"], "fractional_positions": [[0.500, 0.250, 0.250], [0.000, 0.250, 0.522], [0.000, 0.250, 0.978], [0.500, 0.750, 0.750]]}

8.
{"formula": "Zr2AlCd", "functional": "PBE", "state": "optimized geometry", "ef_ev_per_atom": -0.011, "crystal_system": "trigonal", "space_group": "R3m", "lattice": [[10.553, 0.137, 0.080], [10.065, 3.174, 0.080], [10.065, 1.616, 2.733]], "species": ["Cd", "Al", "Zr", "Zr"], "fractional_positions": [[0.754, 0.754, 0.754], [0.499, 0.499, 0.499], [0.002, 0.002, 0.002], [0.245, 0.245, 0.245]]}

9.
{"formula": "Zr2AlCd", "functional": "PBE", "state": "optimized geometry", "ef_ev_per_atom": -0.269, "crystal_system": "orthorhombic", "space_group": "Cmmm", "lattice": [[-0.556, 4.909, 1.869], [-3.994, -0.998, -3.310], [-1.688, -1.093, 2.367]], "species": ["Zr", "Zr", "Al", "Cd"], "fractional_positions": [[0.500, 0.500, 0.000], [0.000, 0.000, 0.000], [0.500, 0.000, 0.500], [0.000, 0.500, 0.500]]}

10.
{"formula": "ZrAlCd2", "functional": "PBE", "state": "optimized geometry", "de_polymorph_mev_per_atom": 231.1, "ef_ev_per_atom": -0.003, "crystal_system": "orthorhombic", "space_group": "Pmmm", "lattice": [[-2.390, 2.015, -0.031], [-0.569, -0.608, 4.336], [3.810, 4.537, 1.136]], "species": ["Cd", "Cd", "Zr", "Al"], "fractional_positions": [[0.000, 0.000, 0.504], [0.000, 0.000, 0.996], [0.500, 0.500, 0.250], [0.500, 0.500, 0.750]]}

11.
{"formula": "ZrAl3Cd", "functional": "PBE", "state": "optimized geometry", "de_polymorph_mev_per_atom": 36.6, "ef_ev_per_atom": 0.902, "crystal_system": "cubic", "space_group": "Pm-3m", "lattice": [[-0.599, 3.352, -4.016], [3.737, -2.554, -2.689], [-3.660, -3.156, -2.089]], "species": ["Al", "Al", "Al", "Cd", "Zr"], "fractional_positions": [[0.000, 0.500, 0.000], [0.500, 0.000, 0.000], [0.000, 0.000, 0.500], [0.500, 0.500, 0.500], [0.000, 0.000, 0.000]]}

12.
{"formula": "ZrAlCd2", "functional": "PBE", "state": "optimized geometry", "de_polymorph_mev_per_atom": 114.7, "ef_ev_per_atom": -0.119, "crystal_system": "tetragonal", "space_group": "P4mm", "lattice": [[-0.238, 1.235, 2.911], [-2.959, -1.116, 0.232], [2.871, -6.951, 3.185]], "species": ["Cd", "Cd", "Zr", "Al"], "fractional_positions": [[0.500, 0.500, 0.246], [0.000, 0.000, 0.984], [0.000, 0.000, 0.523], [0.500, 0.500, 0.747]]}

13.
{"formula": "Zr2AlCd", "functional": "PBE", "state": "optimized geometry", "ef_ev_per_atom": -0.267, "crystal_system": "orthorhombic", "space_group": "Pmmm", "lattice": [[3.075, 0.000, 0.000], [0.000, 4.247, 0.000], [0.000, 0.000, 6.295]], "species": ["Zr", "Zr", "Al", "Cd"], "fractional_positions": [[0.000, 0.000, 0.490], [0.000, 0.000, 0.010], [0.500, 0.500, 0.250], [0.500, 0.500, 0.750]]}

14.
{"formula": "Zr2AlCd", "functional": "PBE", "state": "optimized geometry", "ef_ev_per_atom": -0.268, "crystal_system": "orthorhombic", "space_group": "Pmma", "lattice": [[3.031, 0.000, 0.000], [0.000, 8.301, 0.000], [0.000, 0.000, 6.543]], "species": ["Zr", "Zr", "Zr", "Zr", "Al", "Al", "Cd", "Cd"], "fractional_positions": [[0.500, 0.486, 0.761], [0.500, 0.986, 0.239], [0.500, 0.014, 0.761], [0.500, 0.514, 0.239], [0.000, 0.250, 0.021], [0.000, 0.750, 0.979], [0.000, 0.250, 0.477], [0.000, 0.750, 0.523]]}

15.
{"formula": "ZrAlCd2", "functional": "PBE", "state": "optimized geometry", "de_polymorph_mev_per_atom": 286.3, "ef_ev_per_atom": 0.052, "crystal_system": "cubic", "space_group": "F-43m", "lattice": [[-4.776, -0.877, -0.439], [-1.551, -4.408, -1.390], [-2.247, -2.914, 3.198]], "species": ["Zr", "Cd", "Cd", "Al"], "fractional_positions": [[0.750, 0.750, 0.750], [0.250, 0.250, 0.250], [0.000, 0.000, 0.000], [0.500, 0.500, 0.500]]}

16.
{"formula": "ZrAlCd", "functional": "PBE", "state": "optimized geometry", "ef_ev_per_atom": 0.361, "crystal_system": "cubic", "space_group": "F-43m", "lattice": [[-0.924, -3.858, -2.541], [3.138, -1.552, -3.152], [2.383, -3.982, 0.812]], "species": ["Zr", "Al", "Cd"], "fractional_positions": [[0.250, 0.250, 0.250], [0.000, 0.000, 0.000], [0.500, 0.500, 0.500]]}

17.
{"formula": "ZrAl2Cd2", "functional": "PBE", "state": "optimized geometry", "ef_ev_per_atom": 0.063, "crystal_system": "tetragonal", "space_group": "P4/mbm", "lattice": [[-0.422, 6.960, 3.933], [-6.068, -2.844, 4.380], [2.041, -1.078, 2.127]], "species": ["Al", "Al", "Al", "Al", "Zr", "Zr", "Cd", "Cd", "Cd", "Cd"], "fractional_positions": [[0.823, 0.323, 0.500], [0.323, 0.177, 0.500], [0.177, 0.677, 0.500], [0.677, 0.823, 0.500], [0.500, 0.500, 0.000], [0.000, 0.000, 0.000], [0.126, 0.374, 0.000], [0.874, 0.626, 0.000], [0.374, 0.874, 0.000], [0.626, 0.126, 0.000]]}

18.
{"formula": "Zr2AlCd", "functional": "PBE", "state": "optimized geometry", "ef_ev_per_atom": -0.087, "crystal_system": "orthorhombic", "space_group": "Pmm2", "lattice": [[-1.270, 0.537, 2.920], [-3.909, -0.052, -1.691], [-0.340, -6.102, 0.974]], "species": ["Zr", "Zr", "Cd", "Al"], "fractional_positions": [[0.500, 0.500, 0.259], [0.000, 0.000, 0.006], [0.500, 0.500, 0.747], [0.000, 0.000, 0.488]]}

19.
{"formula": "ZrAlCd", "functional": "PBE", "state": "optimized geometry", "ef_ev_per_atom": -0.181, "crystal_system": "tetragonal", "space_group": "I4mm", "lattice": [[6.557, -0.035, 0.037], [5.831, 2.998, 0.037], [0.725, 0.173, 3.028]], "species": ["Cd", "Zr", "Al"], "fractional_positions": [[0.341, 0.341, 0.659], [0.657, 0.657, 0.343], [0.002, 0.002, 0.998]]}

20.
{"formula": "Zr2Al2Cd", "functional": "PBE", "state": "optimized geometry", "ef_ev_per_atom": -0.340, "crystal_system": "tetragonal", "space_group": "P4/mbm", "lattice": [[7.004, 0.000, 0.000], [0.000, 7.004, 0.000], [0.000, 0.000, 4.075]], "species": ["Zr", "Zr", "Zr", "Zr", "Al", "Al", "Al", "Al", "Cd", "Cd"], "fractional_positions": [[0.671, 0.829, 0.500], [0.329, 0.171, 0.500], [0.829, 0.329, 0.500], [0.171, 0.671, 0.500], [0.873, 0.627, 0.000], [0.373, 0.873, 0.000], [0.627, 0.127, 0.000], [0.127, 0.373, 0.000], [0.500, 0.500, 0.000], [0.000, 0.000, 0.000]]}

Mass density, respectively: 6.9 6.4 6.8 5.5 5.4 6.9 5.4 6.3 6.5 6.8 3.2 6.9 6.5 6.5 7.0 5.2 6.1 6.3 6.4 5.8 g/cm³.